1.
MnCr2Br: optimized geometry, PBE.

spin magnetization	0.0	μB/cell
formation energy (no corrections)	0.848	eV/atom
excess energy over the best structure of this formula in the dataset	540.9	meV/atom

a b c (Å): 2.8945 4.1120 8.5305
angles (deg): 90.00 90.00 90.00
With the nearest neighbours (Å) after each atom.
Space group Immm (No. 71)
Asymmetric unit:
1 Mn 0.0000 0.0000 0.0000 [2 per cell]  4 Br 2.51, 4 Cr 2.64
2 Cr 0.0000 0.5000 0.2410 [4 per cell]  2 Br 2.51, 4 Cr 2.52, 2 Mn 2.64
3 Br 0.0000 0.0000 0.5000 [2 per cell]  4 Mn 2.51, 4 Cr 2.51

=====

2.
MnCrBr: optimized geometry, PBE.

spin magnetization	0.1	μB/cell
formation energy (no corrections)	0.671	eV/atom
excess energy over the best structure of this formula in the dataset	428.1	meV/atom

a b c (Å): 6.3622 6.3622 6.3622
angles (deg): 90.00 90.00 90.00
With the nearest neighbours (Å) after each atom.
Space group F-43m (No. 216)
Asymmetric unit:
1 Mn 0.0000 0.0000 0.0000 [4 per cell]  4 Cr 2.75
2 Cr 0.2500 0.2500 0.2500 [4 per cell]  4 Br 2.75, 4 Mn 2.75
3 Br 0.0000 0.0000 0.5000 [4 per cell]  4 Cr 2.75

=====

3.
MnCrBr2: optimized geometry, PBE.

spin magnetization	18.2	μB/cell
formation energy (no corrections)	0.263	eV/atom
excess energy over the best structure of this formula in the dataset	234.7	meV/atom

a b c (Å): 3.5485 6.4811 8.2750
angles (deg): 90.00 90.00 90.00
With the nearest neighbours (Å) after each atom.
Space group Cmmm (No. 65)
Asymmetric unit:
1 Mn 0.0000 0.0000 0.0000 [2 per cell]  4 Br 2.77
2 Cr 0.0000 0.0000 0.5000 [2 per cell]  4 Br 2.68
3 Br 0.0000 0.5000 0.2568 [4 per cell]  2 Cr 2.68, 2 Mn 2.77

=====

4.
MnCrBr2: optimized geometry, PBE.

spin magnetization	9.3	μB/cell
formation energy (no corrections)	0.261	eV/atom
excess energy over the best structure of this formula in the dataset	232.5	meV/atom

a b c (Å): 3.6411 3.8875 7.2540
angles (deg): 90.00 100.36 90.00
With the nearest neighbours (Å) after each atom.
Space group P2/m (No. 10)
Asymmetric unit:
1 Mn 0.0000 0.0000 0.0000 [1 per cell]  4 Br 2.71
2 Cr 0.0000 0.0000 0.5000 [1 per cell]  4 Br 2.74
3 Br 0.1670 0.5000 0.2614 [2 per cell]  2 Mn 2.71, 2 Cr 2.74

=====

> What is the excess energy over the best structure of this formula in the dataset in the fourth record?

232.5 meV/atom

=====

> formation energy (no corrections) of number 1 (MnCr2Br)?

0.848 eV/atom